(1)
Below is a relaxed structure of BaSc2Tc, with properties calculated at the PBE level.

Results
For the energy relative to the elements, the calculation gives 268.1 meV per atom. As for the volume: 119.8 Å³ per cell.

Lattice parameters (Å, degrees): 4.9450 4.9450 7.1308 68.81 68.81 48.46
With the nearest neighbours (Å) after each atom.
Element x y z (fractional)
Sc: 0.8001 0.8001 0.6483  3 Tc 2.67-2.82
Sc: 0.0267 0.0267 0.8836  2 Tc 2.58
Tc: 0.4753 0.4753 0.6929  5 Sc 2.58-2.82
Ba: 0.1980 0.1980 0.2752  3 Tc 3.50-3.91, 6 Sc 3.52-3.76

---

(2)
Below is a relaxed structure of BaSc2Tc, with properties calculated at the PBE level.

Results
For the energy relative to the elements, the calculation gives 481.7 meV per atom. As for the volume: 93.2 Å³ per cell.

Lattice parameters (Å, degrees): 5.0900 5.0900 5.0900 60.00 60.00 60.00
With the nearest neighbours (Å) after each atom.
Element x y z (fractional)
Tc: 0.0000 0.0000 0.0000  8 Sc 3.12
Sc: 0.7500 0.7500 0.7500  4 Ba 3.12, 4 Tc 3.12
Sc: 0.2500 0.2500 0.2500  4 Ba 3.12, 4 Tc 3.12
Ba: 0.5000 0.5000 0.5000  8 Sc 3.12

---

(3)
Below is a relaxed structure of BaSc2Tc, with properties calculated at the PBE level.

Results
For the energy relative to the elements, the calculation gives 540.4 meV per atom. As for the volume: 310.7 Å³ per cell.

Lattice parameters (Å, degrees): 7.5974 7.5974 7.6051 60.03 60.03 90.00
With the nearest neighbours (Å) after each atom.
Element x y z (fractional)
Ba: 0.7500 0.2500 0.5000  12 Sc 4.46, 4 Ba 4.66, 4 Tc 4.66
Ba: 0.0000 0.0000 0.0000  12 Sc 4.46, 4 Ba 4.66, 4 Tc 4.66
Sc: 0.8750 0.6250 0.7500  2 Tc 2.33
Sc: 0.3750 0.6250 0.2500  2 Tc 2.33
Sc: 0.3750 0.6250 0.7500  2 Tc 2.33
Sc: 0.3750 0.1250 0.2500  2 Tc 2.33
Tc: 0.5000 0.5000 0.0000  4 Sc 2.33
Tc: 0.2500 0.7500 0.5000  4 Sc 2.33

---

(4)
Below is a relaxed structure of BaScTc3, with properties calculated at the PBE level.

Results
For the energy relative to the elements, the calculation gives 1494.3 meV per atom. As for the volume: 119.4 Å³ per cell.

Lattice parameters (Å, degrees): 4.9246 4.9246 4.9246 90.00 90.00 90.00
With the nearest neighbours (Å) after each atom.
Element x y z (fractional)
Ba: 0.5000 0.5000 0.5000  12 Tc 3.48
Tc: 0.5000 0.0000 0.0000  2 Sc 2.46
Tc: 0.0000 0.5000 0.0000  2 Sc 2.46
Tc: 0.0000 0.0000 0.5000  2 Sc 2.46
Sc: 0.0000 0.0000 0.0000  6 Tc 2.46

---

(5)
Below is a relaxed structure of BaSc2Tc, with properties calculated at the PBE level.

Results
For the energy relative to the elements, the calculation gives 625.9 meV per atom. As for the volume: 95.6 Å³ per cell.

Lattice parameters (Å, degrees): 5.1326 5.1326 5.1326 60.00 60.00 60.00
With the nearest neighbours (Å) after each atom.
Element x y z (fractional)
Sc: 0.2500 0.2500 0.2500  4 Ba 3.14, 4 Sc 3.14
Sc: 0.0000 0.0000 0.0000  4 Tc 3.14, 4 Sc 3.14
Tc: 0.7500 0.7500 0.7500  4 Ba 3.14, 4 Sc 3.14
Ba: 0.5000 0.5000 0.5000  4 Tc 3.14, 4 Sc 3.14

---

(6)
Below is a relaxed structure of BaSc2Tc, with properties calculated at the PBE level.

Results
For the energy relative to the elements, the calculation gives 634.2 meV per atom. As for the volume: 91.8 Å³ per cell.

Lattice parameters (Å, degrees): 5.1121 5.1121 3.6267 90.00 90.00 104.40
With the nearest neighbours (Å) after each atom.
Element x y z (fractional)
Sc: 0.5000 0.5000 0.0000  2 Sc 3.13, 4 Tc 3.13, 4 Ba 3.13
Sc: 0.0000 0.0000 0.0000  2 Sc 3.13, 4 Ba 3.13, 4 Tc 3.13
Tc: 0.5000 0.0000 0.5000  2 Ba 3.13, 8 Sc 3.13
Ba: 0.0000 0.5000 0.5000  2 Tc 3.13, 8 Sc 3.13

---

no.,final energy (eV per atom)
1,-5.970
2,-5.756
3,-5.698
4,-6.376
5,-5.612
6,-5.604